BeInCl4 | GGA-PBE | optimized geometry

Unit cell a=6.063 b=6.063 c=6.063 alpha=60.00 beta=60.00 gamma=60.00
Element x y z (fractional)
Be (0.000, 0.000, 0.000)
In (0.250, 0.250, 0.250)
Cl (0.125, 0.625, 0.625)
Cl (0.625, 0.125, 0.625)
Cl (0.625, 0.625, 0.125)
Cl (0.625, 0.625, 0.625)

Volume in Å³/cell: 157.6
Space-group type: F-43m (216)
D(E_F) in states/eV/cell: 0.70
Formation energy without anion corrections in meV/atom: 583.4

---

BeInCl3 | GGA-PBE | optimized geometry

Unit cell a=9.158 b=9.158 c=13.686 alpha=109.55 beta=109.55 gamma=59.99
Element x y z (fractional)
Be (0.177, 0.823, 0.750)
Be (0.345, 0.416, 0.250)
Be (0.416, 0.345, 0.750)
Be (0.584, 0.655, 0.250)
Be (0.655, 0.584, 0.750)
Be (0.823, 0.177, 0.250)
In (0.000, 0.500, 0.500)
In (0.174, 0.664, 0.000)
In (0.336, 0.826, 0.500)
In (0.500, 0.000, 0.000)
In (0.664, 0.174, 0.500)
In (0.826, 0.336, 0.000)
Cl (0.023, 0.886, 0.614)
Cl (0.114, 0.977, 0.886)
Cl (0.189, 0.372, 0.115)
Cl (0.198, 0.583, 0.750)
Cl (0.283, 0.462, 0.387)
Cl (0.366, 0.634, 0.250)
Cl (0.372, 0.189, 0.615)
Cl (0.417, 0.802, 0.750)
Cl (0.462, 0.283, 0.887)
Cl (0.538, 0.717, 0.113)
Cl (0.583, 0.198, 0.250)
Cl (0.628, 0.811, 0.385)
Cl (0.634, 0.366, 0.750)
Cl (0.717, 0.538, 0.613)
Cl (0.802, 0.417, 0.250)
Cl (0.811, 0.628, 0.885)
Cl (0.886, 0.023, 0.114)
Cl (0.977, 0.114, 0.386)

Volume in Å³/cell: 916.7
Space-group type: C2/c (15)
Polymorph energy (0 for the lowest one) in meV/atom: 13
D(E_F) in states/eV/cell: 0.00
Formation energy without anion corrections in meV/atom: -1185.8

---

BeIn4Cl2 | GGA-PBE | optimized geometry

Unit cell a=9.331 b=9.331 c=9.331 alpha=150.10 beta=150.10 gamma=42.79
Element x y z (fractional)
Be (0.000, 0.000, 0.000)
In (0.000, 0.500, 0.500)
In (0.166, 0.166, 0.000)
In (0.500, 0.000, 0.500)
In (0.834, 0.834, 0.000)
Cl (0.376, 0.376, 0.000)
Cl (0.624, 0.624, 0.000)

Volume in Å³/cell: 201.3
Space-group type: I4/mmm (139)
D(E_F) in states/eV/cell: 2.77
Formation energy without anion corrections in meV/atom: -158.3

---

BeIn4Cl | GGA-PBE | optimized geometry

Unit cell a=6.157 b=6.157 c=6.157 alpha=60.00 beta=60.00 gamma=60.00
Element x y z (fractional)
Be (0.000, 0.000, 0.000)
In (0.375, 0.375, 0.375)
In (0.375, 0.375, 0.876)
In (0.375, 0.876, 0.375)
In (0.876, 0.375, 0.375)
Cl (0.750, 0.750, 0.750)

Volume in Å³/cell: 165.0
Space-group type: F-43m (216)
D(E_F) in states/eV/cell: 2.41
Formation energy without anion corrections in meV/atom: 390.5

---

Be2InCl6 | GGA-PBE | optimized geometry

Unit cell a=8.680 b=8.680 c=6.201 alpha=101.31 beta=101.31 gamma=87.03
Element x y z (fractional)
Be (0.129, 0.276, 0.278)
Be (0.276, 0.129, 0.778)
Be (0.724, 0.871, 0.222)
Be (0.871, 0.724, 0.722)
In (0.350, 0.650, 0.750)
In (0.650, 0.350, 0.250)
Cl (0.077, 0.645, 0.880)
Cl (0.090, 0.208, 0.561)
Cl (0.208, 0.090, 0.061)
Cl (0.291, 0.449, 0.341)
Cl (0.355, 0.923, 0.620)
Cl (0.449, 0.291, 0.841)
Cl (0.551, 0.709, 0.159)
Cl (0.645, 0.077, 0.380)
Cl (0.709, 0.551, 0.659)
Cl (0.792, 0.910, 0.939)
Cl (0.910, 0.792, 0.439)
Cl (0.923, 0.355, 0.120)

Volume in Å³/cell: 449.2
Space-group type: C2/c (15)
D(E_F) in states/eV/cell: 7.66
Formation energy without anion corrections in meV/atom: -1176.8

---

BeIn3Cl | GGA-PBE | optimized geometry

Unit cell a=5.015 b=5.015 c=5.015 alpha=90.00 beta=90.00 gamma=90.00
Element x y z (fractional)
Be (0.000, 0.000, 0.000)
In (0.000, 0.000, 0.500)
In (0.000, 0.500, 0.000)
In (0.500, 0.000, 0.000)
Cl (0.500, 0.500, 0.500)

Volume in Å³/cell: 126.1
Space-group type: Pm-3m (221)
Polymorph energy (0 for the lowest one) in meV/atom: 0
D(E_F) in states/eV/cell: 2.13
Formation energy without anion corrections in meV/atom: -23.9

---

BeInCl3 | GGA-PBE | optimized geometry

Unit cell a=4.682 b=4.682 c=4.682 alpha=90.00 beta=90.00 gamma=90.00
Element x y z (fractional)
Be (0.000, 0.000, 0.000)
In (0.500, 0.500, 0.500)
Cl (0.000, 0.000, 0.500)
Cl (0.000, 0.500, 0.000)
Cl (0.500, 0.000, 0.000)

Volume in Å³/cell: 102.6
Space-group type: Pm-3m (221)
Polymorph energy (0 for the lowest one) in meV/atom: 328
D(E_F) in states/eV/cell: 0.00
Formation energy without anion corrections in meV/atom: -870.6

---

KBe2InCl6 | GGA-PBE | optimized geometry

Unit cell a=8.896 b=8.896 c=8.606 alpha=106.27 beta=106.27 gamma=85.59
Element x y z (fractional)
K (0.137, 0.863, 0.750)
K (0.863, 0.137, 0.250)
Be (0.124, 0.337, 0.674)
Be (0.337, 0.124, 0.174)
Be (0.663, 0.876, 0.826)
Be (0.876, 0.663, 0.326)
In (0.399, 0.601, 0.250)
In (0.601, 0.399, 0.750)
Cl (0.096, 0.612, 0.389)
Cl (0.137, 0.194, 0.063)
Cl (0.194, 0.137, 0.563)
Cl (0.270, 0.495, 0.833)
Cl (0.388, 0.904, 0.111)
Cl (0.495, 0.270, 0.333)
Cl (0.505, 0.730, 0.667)
Cl (0.612, 0.096, 0.889)
Cl (0.730, 0.505, 0.167)
Cl (0.806, 0.863, 0.437)
Cl (0.863, 0.806, 0.937)
Cl (0.904, 0.388, 0.611)

Volume in Å³/cell: 627.6
Space-group type: C2/c (15)
D(E_F) in states/eV/cell: 0.00
Formation energy without anion corrections in meV/atom: -1401.9